A plane-wave DFT calculation with PBE was carried out for a relaxed structure of AcNd2Te4.

Values from the calculation:
The calculation puts the uncorrected formation energy at -1482.6 meV per atom.

abc: 4.5041 7.7264 15.4459
angles: 90.00 90.00 106.95
Last column: nearest neighbours and their distance in Å.
Atoms (fractional coordinates):
Te (0.2262, 0.4524, 0.8778)  3 Nd 3.20-3.22, 2 Ac 3.38
Te (0.2262, 0.4524, 0.6222)  3 Nd 3.20-3.22, 2 Ac 3.38
Te (0.7738, 0.5476, 0.3778)  3 Nd 3.20-3.22, 2 Ac 3.38
Te (0.7738, 0.5476, 0.1222)  3 Nd 3.20-3.22, 2 Ac 3.38
Te (0.5000, 0.0000, 0.5000)  4 Nd 3.12
Te (0.5000, 0.0000, 0.0000)  4 Nd 3.12
Te (0.9554, 0.9107, 0.7500)  2 Nd 3.14, 2 Ac 3.32
Te (0.0446, 0.0893, 0.2500)  2 Nd 3.14, 2 Ac 3.32
Nd (0.1303, 0.2606, 0.0639)  6 Te 3.12-3.22
Nd (0.8697, 0.7394, 0.5639)  6 Te 3.12-3.22
Nd (0.8697, 0.7394, 0.9361)  6 Te 3.12-3.22
Nd (0.1303, 0.2606, 0.4361)  6 Te 3.12-3.22
Ac (0.6205, 0.2410, 0.7500)  6 Te 3.32-3.38
Ac (0.3795, 0.7590, 0.2500)  6 Te 3.32-3.38

A plane-wave DFT calculation with PBE was carried out for a relaxed structure of PuNi12.

Values from the calculation:
As for the energy of formation from the pure elements: -49 meV/atom.

abc: 4.6985 6.2557 6.2557
angles: 81.89 67.94 67.94
Last column: nearest neighbours and their distance in Å.
Atoms (fractional coordinates):
Ni (0.5000, 0.2214, 0.7786)  10 Ni 2.37-2.59
Ni (0.2786, 0.2214, 0.2214)  10 Ni 2.37-2.59
Ni (0.0000, 0.0000, 0.5000)  10 Ni 2.35-2.51
Ni (0.5000, 0.7786, 0.2214)  10 Ni 2.37-2.59
Ni (0.5000, 0.0000, 0.5000)  10 Ni 2.35-2.51
Ni (0.0000, 0.5000, 0.0000)  10 Ni 2.35-2.51
Ni (0.6461, 0.3539, 0.3539)  9 Ni 2.40-2.59
Ni (0.5000, 0.5000, 0.0000)  10 Ni 2.35-2.51
Ni (0.0000, 0.3539, 0.6461)  9 Ni 2.40-2.59
Ni (0.3539, 0.6461, 0.6461)  9 Ni 2.40-2.59
Ni (0.7214, 0.7786, 0.7786)  10 Ni 2.37-2.59
Ni (0.0000, 0.6461, 0.3539)  9 Ni 2.40-2.59
Pu (0.0000, 0.0000, 0.0000)  20 Ni 2.90-3.13

A plane-wave DFT calculation with PBE was carried out for a relaxed structure of ErZrCo.

Values from the calculation:
As for the energy of formation from the pure elements: -66 meV/atom. The calculation puts the energy above the most stable polymorph in this dataset at 104.8 meV/atom.

abc: 5.0807 6.1028 6.8179
angles: 108.67 118.37 112.83
Last column: nearest neighbours and their distance in Å.
Atoms (fractional coordinates):
Co (0.3360, 0.7083, 0.7091)  1 Co 2.59, 4 Zr 2.60-2.62, 2 Er 2.66
Co (0.5741, 0.3292, 0.3284)  1 Co 2.59, 4 Zr 2.60-2.62, 2 Er 2.66
Er (0.4546, 0.0187, 0.5187)  2 Co 2.66
Er (0.4547, 0.5186, 0.0186)  2 Co 2.66
Zr (0.9537, 0.2491, 0.2017)  4 Co 2.60-2.62
Zr (0.9564, 0.7884, 0.8358)  4 Co 2.60-2.62

A plane-wave DFT calculation with PBE was carried out for a relaxed structure of Y2HfSe2N2.

Values from the calculation:
The calculation puts the uncorrected formation energy at -1661.2 meV per atom.

abc: 4.1849 4.1849 8.0064
angles: 105.15 105.15 90.00
Last column: nearest neighbours and their distance in Å.
Atoms (fractional coordinates):
Y (0.6104, 0.6104, 0.2209)  4 N 2.66
Y (0.3896, 0.3896, 0.7791)  4 N 2.66
Se (0.8177, 0.8177, 0.6353)  1 Hf 2.71
Se (0.1823, 0.1823, 0.3647)  1 Hf 2.71
Hf (0.0000, 0.0000, 0.0000)  4 N 2.09
N (0.5000, 0.0000, 0.0000)  2 Hf 2.09
N (0.0000, 0.5000, 0.0000)  2 Hf 2.09